(1)
The following is a DFT calculation (PBE) of an optimized crystal structure of MgBe4Pd.

The structure in POSCAR format:
```
MgBe4Pd
1.0
0.0000 3.1431 3.1431
3.1431 0.0000 3.1431
3.1431 3.1431 0.0000
Be Mg Pd
4 1 1
Cartesian
2.3496 2.3496 3.9366
3.9366 3.9366 3.9366
3.9366 2.3496 2.3496
2.3496 3.9366 2.3496
1.5716 1.5716 1.5716
0.0000 0.0000 0.0000
```

Computed properties:
The electronic total energy comes out at -3.94 eV/atom.

---

(2)
The following is a DFT calculation (PBE) of an optimized crystal structure of Mg2BePd.

The structure in POSCAR format:
```
Mg2BePd
1.0
4.3355 0.6461 -0.1118
1.7114 3.6815 1.6565
2.3343 -0.1428 3.7091
Mg Be Pd
2 1 1
Cartesian
0.0000 0.0000 0.0000
6.2859 3.1386 3.9403
4.1906 2.0924 2.6269
2.0953 1.0462 1.3134
```

Computed properties:
The electronic total energy comes out at -3.20 eV/atom.

---

(3)
The following is a DFT calculation (PBE) of an optimized crystal structure of MgBeSnPd.

The structure in POSCAR format:
```
MgBeSnPd
1.0
2.3086 -3.1009 -2.3634
1.0170 -3.9918 1.8874
-2.0723 -3.7710 -1.4199
Pd Be Mg Sn
1 1 1 1
Cartesian
0.6267 -5.4319 -0.9479
0.0000 0.0000 0.0000
0.9400 -8.1478 -1.4219
0.3133 -2.7159 -0.4740
```

Computed properties:
The electronic total energy comes out at -3.70 eV/atom. The relative energy among the computed polymorphs comes out at 0.0 kJ per mole of atoms.

---

(4)
The following is a DFT calculation (PBE) of an optimized crystal structure of PrMgBe.

The structure in POSCAR format:
```
PrMgBe
1.0
0.0000 3.4639 3.4639
3.4639 0.0000 3.4639
3.4639 3.4639 0.0000
Mg Pr Be
1 1 1
Cartesian
5.1958 5.1958 5.1958
0.0000 0.0000 0.0000
1.7319 1.7319 1.7319
```

Computed properties:
The total moment comes out at 0.00 Bohr magnetons per cell. The electronic total energy comes out at -2.54 eV/atom. The relative energy among the computed polymorphs comes out at 19.8 kJ per mole of atoms.

---

(5)
The following is a DFT calculation (PBE) of an optimized crystal structure of PrMgBe.

The structure in POSCAR format:
```
PrMgBe
1.0
3.3073 -1.7929 2.9151
-0.3977 -4.4690 1.5877
2.9867 -3.3571 -1.5683
Mg Be Pr
1 1 1
Cartesian
0.0000 0.0000 0.0000
1.4741 -2.4047 0.7336
4.4223 -7.2142 2.2008
```

Computed properties:
The total moment comes out at 0.00 Bohr magnetons per cell. The electronic total energy comes out at -2.75 eV/atom. The relative energy among the computed polymorphs comes out at 0.0 kJ per mole of atoms.

---

(6)
The following is a DFT calculation (PBE) of an optimized crystal structure of MgZrBePt.

The structure in POSCAR format:
```
MgZrBePt
1.0
0.0000 3.1720 3.1720
3.1720 0.0000 3.1720
3.1720 3.1720 0.0000
Zr Be Mg Pt
1 1 1 1
Cartesian
1.5860 1.5860 1.5860
4.7580 4.7580 4.7580
0.0000 0.0000 0.0000
3.1720 3.1720 3.1720
```

Computed properties:
The total moment comes out at 0.00 Bohr magnetons per cell. The electronic total energy comes out at -5.41 eV/atom. The relative energy among the computed polymorphs comes out at 7.7 kJ per mole of atoms.

---

(7)
The following is a DFT calculation (PBE) of an optimized crystal structure of MgZrBePt.

The structure in POSCAR format:
```
MgZrBePt
1.0
-3.2423 -1.9496 2.4847
-3.4479 -2.1124 -2.0340
-0.3108 -4.5121 0.1767
Mg Pt Be Zr
1 1 1 1
Cartesian
-3.5005 -4.2870 0.3137
-1.7502 -2.1435 0.1568
-5.2508 -6.4306 0.4705
0.0000 0.0000 0.0000
```

Computed properties:
The total moment comes out at 0.00 Bohr magnetons per cell. The electronic total energy comes out at -5.49 eV/atom. The relative energy among the computed polymorphs comes out at 0.0 kJ per mole of atoms.

---

(8)
The following is a DFT calculation (PBE) of an optimized crystal structure of MgZrBePt.

The structure in POSCAR format:
```
MgZrBePt
1.0
-1.4389 -3.2192 -2.7103
-3.9307 -1.9426 0.7452
-3.4145 0.7651 -2.7450
Pt Mg Zr Be
1 1 1 1
Cartesian
-4.3920 -2.1983 -2.3550
-2.1960 -1.0992 -1.1775
0.0000 0.0000 0.0000
-6.5881 -3.2975 -3.5325
```

Computed properties:
The total moment comes out at 0.03 Bohr magnetons per cell. The electronic total energy comes out at -5.29 eV/atom. The relative energy among the computed polymorphs comes out at 19.3 kJ per mole of atoms.

---

What is the electronic total energy in the fifth record? -2.75 eV/atom